# 1
## In3PbI (PBE)

Data for a relaxed structure of In3PbI. Values from VASP.

Quantum ESPRESSO input file:
```
&SYSTEM
  ibrav = 0, nat = 5, ntyp = 3
/
ATOMIC_SPECIES
In 114.82 In.upf
Pb 207.20 Pb.upf
I 126.90 I.upf
CELL_PARAMETERS angstrom
6.075 0.000 0.000
0.000 6.075 0.000
0.000 0.000 6.075
ATOMIC_POSITIONS crystal
In 0.500 0.000 0.000
In 0.000 0.000 0.500
In 0.000 0.500 0.000
Pb 0.000 0.000 0.000
I 0.500 0.500 0.500
```

Energy above the most stable polymorph in this dataset: 0 meV per atom
Space-group type: Pm-3m
Formation energy (no corrections): 190 meV per atom
Magnetic moment: 0.0 Bohr magnetons per cell

=====

# 2
## PaPt3 (PBE)

Data for a relaxed structure of PaPt3. Values from VASP.

Quantum ESPRESSO input file:
```
&SYSTEM
  ibrav = 0, nat = 4, ntyp = 2
/
ATOMIC_SPECIES
Pt 195.08 Pt.upf
Pa 231.04 Pa.upf
CELL_PARAMETERS angstrom
4.733 0.000 0.000
2.366 4.099 0.000
2.366 1.366 3.864
ATOMIC_POSITIONS crystal
Pt 0.000 0.000 0.000
Pt 0.750 0.750 0.750
Pt 0.250 0.250 0.250
Pa 0.500 0.500 0.500
```

Energy above the most stable polymorph in this dataset: 251 meV per atom
Space-group type: Fm-3m
Magnetic moment: 0.0 Bohr magnetons per cell
Calculated formation energy: -798 meV per atom

=====

# 3
## CsLiOs2 (PBE)

Data for a relaxed structure of CsLiOs2. Values from VASP.

Quantum ESPRESSO input file:
```
&SYSTEM
  ibrav = 0, nat = 8, ntyp = 3
/
ATOMIC_SPECIES
Li 6.94 Li.upf
Os 190.23 Os.upf
Cs 132.91 Cs.upf
CELL_PARAMETERS angstrom
-3.894 -1.446 -0.274
0.489 -0.540 -4.099
1.791 -10.721 -0.489
ATOMIC_POSITIONS crystal
Li 0.250 0.750 0.500
Li 0.500 0.500 0.000
Os 0.875 0.764 0.750
Os 0.236 0.625 0.250
Os 0.375 0.486 0.750
Os 0.514 0.125 0.250
Cs 0.750 0.250 0.500
Cs 0.000 0.000 0.000
```

Energy above the most stable polymorph in this dataset: 0 meV per atom
Space-group type: I-42d
Magnetic moment: 0.0 Bohr magnetons per cell
Calculated formation energy: 1302 meV per atom

=====

# 4
## ZrTl2Te2O6 (PBE)

Data for a relaxed structure of ZrTl2Te2O6. Values from VASP.

Quantum ESPRESSO input file:
```
&SYSTEM
  ibrav = 0, nat = 11, ntyp = 4
/
ATOMIC_SPECIES
Te 127.60 Te.upf
O 16.00 O.upf
Tl 204.38 Tl.upf
Zr 91.22 Zr.upf
CELL_PARAMETERS angstrom
-6.020 3.414 1.000
1.965 -4.659 3.286
3.226 5.206 1.647
ATOMIC_POSITIONS crystal
Te 0.062 0.123 0.270
Te 0.938 0.877 0.730
O 0.737 0.473 0.707
O 0.329 0.063 0.274
O 0.266 0.937 0.726
O 0.734 0.063 0.274
O 0.263 0.527 0.293
O 0.671 0.937 0.726
Tl 0.307 0.615 0.877
Tl 0.693 0.385 0.123
Zr 0.500 0.000 0.500
```

Space-group type: C2/m
Formation energy (no corrections): -1399 meV per atom
Magnetic moment: 0.0 Bohr magnetons per cell

=====

# 5
## Tb3DyHg6 (PBE)

Data for a relaxed structure of Tb3DyHg6. Values from VASP.

Quantum ESPRESSO input file:
```
&SYSTEM
  ibrav = 0, nat = 20, ntyp = 3
/
ATOMIC_SPECIES
Tb 158.93 Tb.upf
Hg 200.59 Hg.upf
Dy 162.50 Dy.upf
CELL_PARAMETERS angstrom
-4.579 -2.346 0.339
4.223 -8.147 0.655
-1.173 3.789 10.393
ATOMIC_POSITIONS crystal
Tb 0.750 0.647 0.203
Tb 0.250 0.353 0.797
Tb 0.750 0.229 0.008
Tb 0.250 0.771 0.992
Tb 0.750 0.485 0.613
Tb 0.250 0.515 0.387
Hg 0.750 0.758 0.491
Hg 0.750 0.161 0.687
Hg 0.250 0.653 0.702
Hg 0.750 0.860 0.802
Hg 0.250 0.839 0.313
Hg 0.250 0.063 0.896
Hg 0.750 0.347 0.298
Hg 0.750 0.937 0.104
Hg 0.250 0.140 0.198
Hg 0.250 0.242 0.509
Hg 0.250 0.464 0.090
Hg 0.750 0.536 0.910
Dy 0.250 0.938 0.610
Dy 0.750 0.062 0.390
```

Space-group type: P2_1/m
Magnetic moment: 0.0 Bohr magnetons per cell
Calculated formation energy: -432 meV per atom

=====

# 6
## TbHo5Tl (PBE)

Data for a relaxed structure of TbHo5Tl. Values from VASP.

Quantum ESPRESSO input file:
```
&SYSTEM
  ibrav = 0, nat = 7, ntyp = 3
/
ATOMIC_SPECIES
Ho 164.93 Ho.upf
Tb 158.93 Tb.upf
Tl 204.38 Tl.upf
CELL_PARAMETERS angstrom
-0.192 5.632 -1.828
1.184 -2.531 -7.921
-6.132 -1.972 4.167
ATOMIC_POSITIONS crystal
Ho 0.409 0.173 0.000
Ho 0.251 0.248 0.497
Ho 0.159 0.500 0.000
Ho 0.409 0.827 0.000
Ho 0.754 0.752 0.503
Tb 0.670 0.500 0.000
Tl 0.878 0.000 0.000
```

Space-group type: Imm2
Magnetic moment: 0.0 Bohr magnetons per cell
Calculated formation energy: 827 meV per atom